Material: ScCu2Re
Method: DFT, PBE
State: relaxed

```
data_ScCu2Re
_symmetry_space_group_name_H-M 'P 1 m 1'
_symmetry_Int_Tables_number 6
_cell_length_a 2.716
_cell_length_b 4.263
_cell_length_c 5.266
_cell_angle_alpha 90.00
_cell_angle_beta 104.76
_cell_angle_gamma 90.00
loop_
_symmetry_equiv_pos_as_xyz
'x,y,z'
'x,-y,z'
loop_
_atom_site_label
_atom_site_type_symbol
_atom_site_fract_x
_atom_site_fract_y
_atom_site_fract_z
Sc1 Sc 0.000 0.000 0.000
Cu1 Cu 0.614 0.500 0.229
Cu2 Cu 0.741 0.000 0.488
Re1 Re 0.342 0.500 0.687
```

Computed properties:
calculated volume	14.7	A^3/atom
ΔE_f	9.9	kJ per mole of atoms
energy relative to the lowest polymorph listed for this composition	0.010	eV/atom
total magnetization	0.00	μB per cell